(1)
# PBE-GGA LiPuCd2, relaxed
data_LiPuCd2
_chemical_formula_sum 'Li1 Pu1 Cd2'
_symmetry_space_group_name_H-M 'P 1'
_symmetry_Int_Tables_number 1
_cell_length_a 5.164
_cell_length_b 5.164
_cell_length_c 5.164
_cell_angle_alpha 60.00
_cell_angle_beta 60.00
_cell_angle_gamma 60.00
loop_
_symmetry_equiv_pos_as_xyz
'x,y,z'
loop_
_atom_site_label
_atom_site_type_symbol
_atom_site_fract_x
_atom_site_fract_y
_atom_site_fract_z
Cd1 Cd 0.250 0.250 0.250
Cd2 Cd 0.750 0.750 0.750
Li1 Li 0.500 0.500 0.500
Pu1 Pu 0.000 0.000 0.000
# **Total DFT energy (no corrections)**: -4.488 eV/atom
# **Spin magnetization**: 1.5306 μB per atom
# **Crystal system**: cubic
# **Energy of formation from the pure elements**: 3.0 kJ/mol of atoms
# **Density**: 8.12 g cm⁻³



(2)
# PBE-GGA Pm5SmTl3, relaxed
data_Pm5SmTl3
_chemical_formula_sum 'Pm10 Sm2 Tl6'
_symmetry_space_group_name_H-M 'P 1'
_symmetry_Int_Tables_number 1
_cell_length_a 6.895
_cell_length_b 9.605
_cell_length_c 9.599
_cell_angle_alpha 120.02
_cell_angle_beta 90.00
_cell_angle_gamma 90.00
loop_
_symmetry_equiv_pos_as_xyz
'x,y,z'
loop_
_atom_site_label
_atom_site_type_symbol
_atom_site_fract_x
_atom_site_fract_y
_atom_site_fract_z
Pm1 Pm 0.000 0.667 0.333
Pm2 Pm 0.500 0.333 0.667
Pm3 Pm 0.000 0.333 0.667
Pm4 Pm 0.500 0.667 0.333
Pm5 Pm 0.750 0.666 0.666
Pm6 Pm 0.750 0.000 0.334
Pm7 Pm 0.750 0.334 0.000
Pm8 Pm 0.250 0.334 0.334
Pm9 Pm 0.250 0.000 0.666
Pm10 Pm 0.250 0.666 0.000
Sm1 Sm 0.000 0.000 0.000
Sm2 Sm 0.500 0.000 0.000
Tl1 Tl 0.750 0.332 0.332
Tl2 Tl 0.750 0.000 0.668
Tl3 Tl 0.750 0.667 0.000
Tl4 Tl 0.250 0.668 0.668
Tl5 Tl 0.250 0.000 0.332
Tl6 Tl 0.250 0.333 0.000
# **Total DFT energy (no corrections)**: -4.220 eV/atom
# **Spin magnetization**: 0.2264 μB per atom
# **Crystal system**: hexagonal
# **Energy of formation from the pure elements**: -25.9 kJ/mol of atoms
# **Density**: 8.98 g cm⁻³



(3)
# PBE-GGA Ce3ZnTc, relaxed
data_Ce3ZnTc
_chemical_formula_sum 'Ce12 Zn4 Tc4'
_symmetry_space_group_name_H-M 'P 1'
_symmetry_Int_Tables_number 1
_cell_length_a 7.743
_cell_length_b 7.933
_cell_length_c 7.933
_cell_angle_alpha 76.43
_cell_angle_beta 97.87
_cell_angle_gamma 97.87
loop_
_symmetry_equiv_pos_as_xyz
'x,y,z'
loop_
_atom_site_label
_atom_site_type_symbol
_atom_site_fract_x
_atom_site_fract_y
_atom_site_fract_z
Ce1 Ce 0.423 0.326 0.900
Ce2 Ce 0.077 0.100 0.674
Ce3 Ce 0.577 0.674 0.100
Ce4 Ce 0.923 0.900 0.326
Ce5 Ce 0.914 0.710 0.965
Ce6 Ce 0.586 0.035 0.290
Ce7 Ce 0.086 0.290 0.035
Ce8 Ce 0.414 0.965 0.710
Ce9 Ce 0.426 0.369 0.396
Ce10 Ce 0.074 0.604 0.631
Ce11 Ce 0.574 0.631 0.604
Ce12 Ce 0.926 0.396 0.369
Zn1 Zn 0.250 0.955 0.045
Zn2 Zn 0.750 0.045 0.955
Zn3 Zn 0.250 0.701 0.299
Zn4 Zn 0.750 0.299 0.701
Tc1 Tc 0.733 0.366 0.040
Tc2 Tc 0.767 0.960 0.634
Tc3 Tc 0.267 0.634 0.960
Tc4 Tc 0.233 0.040 0.366
# **Total DFT energy (no corrections)**: -5.962 eV/atom
# **Spin magnetization**: 0.1428 μB per atom
# **Crystal system**: monoclinic
# **Energy of formation from the pure elements**: -7.1 kJ/mol of atoms
# **Density**: 8.31 g cm⁻³



(4)
# PBE-GGA VGe2Rh2, relaxed
data_VGe2Rh2
_chemical_formula_sum 'V2 Ge4 Rh4'
_symmetry_space_group_name_H-M 'P 1'
_symmetry_Int_Tables_number 1
_cell_length_a 7.201
_cell_length_b 7.201
_cell_length_c 2.823
_cell_angle_alpha 90.00
_cell_angle_beta 90.00
_cell_angle_gamma 90.00
loop_
_symmetry_equiv_pos_as_xyz
'x,y,z'
loop_
_atom_site_label
_atom_site_type_symbol
_atom_site_fract_x
_atom_site_fract_y
_atom_site_fract_z
Ge1 Ge 0.347 0.847 0.000
Ge2 Ge 0.847 0.653 0.000
Ge3 Ge 0.653 0.153 0.000
Ge4 Ge 0.153 0.347 0.000
Rh1 Rh 0.148 0.648 0.500
Rh2 Rh 0.648 0.852 0.500
Rh3 Rh 0.852 0.352 0.500
Rh4 Rh 0.352 0.148 0.500
V1 V 0.000 0.000 0.000
V2 V 0.500 0.500 0.000
# **Total DFT energy (no corrections)**: -6.880 eV/atom
# **Spin magnetization**: 0.0040 μB per atom
# **Crystal system**: tetragonal
# **Energy of formation from the pure elements**: -26.0 kJ/mol of atoms
# **Density**: 9.12 g cm⁻³